## SrSb4Te (GGA-PBE)

Data for a relaxed structure of SrSb4Te.

The crystal system is cubic. The density of states at the Fermi level comes out at 17.7 states/eV per cell. The value obtained for the formation energy without anion corrections is -0.193 eV per atom.

The space group is F-43m (No. 216) and the conventional cell measures 8.9995, 8.9995 and 8.9995 Å, with angles of 90.00, 90.00 and 90.00 degrees. The distinct sites, in fractional coordinates, are Sr at (0.0000, 0.0000, 0.0000), Sb at (0.1228, 0.1228, 0.3772) and Te at (0.2500, 0.2500, 0.7500).


## TeOsRu2 (GGA-PBE)

Data for a relaxed structure of TeOsRu2.

The crystal system is tetragonal. The density of states at the Fermi level comes out at 10.4 states/eV per cell. The value obtained for the formation energy without anion corrections is 0.801 eV per atom.

The space group is I-42d (No. 122) and the conventional cell measures 5.7258, 5.7258 and 11.3658 Å, with angles of 90.00, 90.00 and 90.00 degrees. The distinct sites, in fractional coordinates, are Te at (0.0000, 0.0000, 0.0000), Os at (0.0000, 0.0000, 0.5000) and Ru at (0.2182, 0.2500, 0.6250).


## VCo4B (GGA-PBE)

Data for a relaxed structure of VCo4B.

The crystal system is orthorhombic. For the formation enthalpy at 0 K, the calculation gives 0.139 eV/atom. The density of states at the Fermi level comes out at 8.0 states/eV per cell.

The space group is Pmmm (No. 47) and the conventional cell measures 3.4364, 3.4507 and 5.6686 Å, with angles of 90.00, 90.00 and 90.00 degrees. The distinct sites, in fractional coordinates, are V at (0.0000, 0.0000, 0.0000), Co at (0.0000, 0.5000, 0.2897), Co at (0.5000, 0.0000, 0.2900) and B at (0.5000, 0.5000, 0.5000).


## SrPH2F (GGA-PBE)

Data for a relaxed structure of SrPH2F.

The crystal system is tetragonal. The density of states at the Fermi level comes out at 2.1 states/eV per cell. Its total energy is -15.86 eV/f.u.

The space group is P4/mmm (No. 123) and the conventional cell measures 4.4701, 4.4701 and 4.5330 Å, with angles of 90.00, 90.00 and 90.00 degrees. The distinct sites, in fractional coordinates, are Sr at (0.0000, 0.0000, 0.0000), P at (0.5000, 0.5000, 0.0000), H at (0.0000, 0.5000, 0.5000) and F at (0.0000, 0.0000, 0.5000).


## NaTeI2F (GGA-PBE)

Data for a relaxed structure of NaTeI2F.

The crystal system is tetragonal. The density of states at the Fermi level comes out at 4.1 states/eV per cell. The value obtained for the formation energy without anion corrections is -0.577 eV per atom.

The space group is P4/mmm (No. 123) and the conventional cell measures 6.1738, 6.1738 and 4.2530 Å, with angles of 90.00, 90.00 and 90.00 degrees. The distinct sites, in fractional coordinates, are Na at (0.0000, 0.0000, 0.0000), Te at (0.5000, 0.5000, 0.0000), I at (0.0000, 0.5000, 0.5000) and F at (0.5000, 0.5000, 0.5000).


## AcLaZrN3 (GGA-PBE)

Data for a relaxed structure of AcLaZrN3.

The crystal system is monoclinic. The density of states at the Fermi level comes out at 4.0 states/eV per cell. The value obtained for the formation energy without anion corrections is -1.124 eV per atom.

The space group is P2_1/m (No. 11) and the conventional cell measures 7.2625, 3.6057 and 9.8644 Å, with angles of 90.00, 91.14 and 90.00 degrees. The distinct sites, in fractional coordinates, are Ac at (0.1391, 0.2500, 0.3015), La at (0.3754, 0.7500, 0.6367), Zr at (0.1629, 0.2500, 0.9444), N at (0.1341, 0.7500, 0.0618), N at (0.1840, 0.2500, 0.7377) and N at (0.3494, 0.7500, 0.3946).


## Al2InRh2 (GGA-PBE)

Data for a relaxed structure of Al2InRh2.

The crystal system is tetragonal. For the formation enthalpy at 0 K, the calculation gives -0.353 eV/atom. The density of states at the Fermi level comes out at 4.2 states/eV per cell.

The space group is I4/mmm (No. 139) and the conventional cell measures 4.1926, 4.1926 and 10.0676 Å, with angles of 90.00, 90.00 and 90.00 degrees. The distinct sites, in fractional coordinates, are Al at (0.0000, 0.0000, 0.1271), In at (0.0000, 0.0000, 0.5000) and Rh at (0.0000, 0.5000, 0.2500).


## CaTmPt (GGA-PBE)

Data for a relaxed structure of CaTmPt.

The crystal system is triclinic. For the formation enthalpy at 0 K, the calculation gives -0.773 eV/atom. The density of states at the Fermi level comes out at 4.8 states/eV per cell.

The space group is P1 (No. 1) and the conventional cell measures 3.7225, 6.7823 and 6.9393 Å, with angles of 75.41, 89.98 and 89.78 degrees. The distinct sites, in fractional coordinates, are Ca at (0.0000, 0.0000, 0.0000), Ca at (0.4968, 0.9392, 0.5061), Tm at (0.9965, 0.4389, 0.3882), Tm at (0.9960, 0.5108, 0.8685), Pt at (0.4975, 0.2896, 0.1480) and Pt at (0.4977, 0.2906, 0.6992).


## TaTlP2Se8 (GGA-PBE)

Data for a relaxed structure of TaTlP2Se8.

The crystal system is trigonal. The value obtained for the formation energy without anion corrections is -0.202 eV per atom.

The space group is R-3 (No. 148, hexagonal axes) and the conventional cell measures 6.3738, 6.3738 and 28.5624 Å, with angles of 90.00, 90.00 and 120.00 degrees. The distinct sites, in fractional coordinates, are Ta at (0.0000, 0.0000, 0.0000), Tl at (0.0000, 0.0000, 0.5000), P at (0.0000, 0.0000, 0.2589), Se at (0.0000, 0.0000, 0.1840) and Se at (0.0075, 0.3250, 0.6160).


## PmScGa5Pd2 (GGA-PBE)

Data for a relaxed structure of PmScGa5Pd2.

The crystal system is tetragonal. For the formation enthalpy at 0 K, the calculation gives -0.401 eV/atom. The density of states at the Fermi level comes out at 5.0 states/eV per cell.

The space group is P4/mmm (No. 123) and the conventional cell measures 4.8473, 4.8473 and 7.6331 Å, with angles of 90.00, 90.00 and 90.00 degrees. The distinct sites, in fractional coordinates, are Pm at (0.0000, 0.0000, 0.0000), Sc at (0.0000, 0.0000, 0.5000), Ga at (0.0000, 0.5000, 0.2721), Ga at (0.5000, 0.5000, 0.0000) and Pd at (0.5000, 0.5000, 0.3274).


## La2TcAgW (GGA-PBE)

Data for a relaxed structure of La2TcAgW.

The crystal system is tetragonal. For the formation enthalpy at 0 K, the calculation gives 0.759 eV/atom. The density of states at the Fermi level comes out at 6.2 states/eV per cell.

The space group is P4/mmm (No. 123) and the conventional cell measures 5.6751, 5.6751 and 4.6441 Å, with angles of 90.00, 90.00 and 90.00 degrees. The distinct sites, in fractional coordinates, are La at (0.0000, 0.5000, 0.0000), Tc at (0.0000, 0.0000, 0.5000), Ag at (0.5000, 0.5000, 0.5000) and W at (0.0000, 0.0000, 0.0000).


## NiWBr (GGA-PBE)

Data for a relaxed structure of NiWBr.

The crystal system is trigonal. The density of states at the Fermi level comes out at 2.6 states/eV per cell. The value obtained for the formation energy without anion corrections is 0.582 eV per atom.

The space group is P3m1 (No. 156) and the conventional cell measures 3.0175, 3.0175 and 6.2307 Å, with angles of 90.00, 90.00 and 120.00 degrees. The distinct sites, in fractional coordinates, are Ni at (0.0000, 0.0000, 0.0000), W at (0.6667, 0.3333, 0.2985) and Br at (0.3333, 0.6667, 0.6307).


| no. | theoretical density (g/cm³) |
| --- | --- |
| 1 | 6.40 |
| 2 | 9.27 |
| 3 | 7.35 |
| 4 | 2.56 |
| 5 | 4.34 |
| 6 | 6.42 |
| 7 | 7.03 |
| 8 | 7.92 |
| 9 | 5.35 |
| 10 | 6.96 |
| 11 | 7.41 |
| 12 | 10.90 |